An optimized crystal structure of CsKLi2Au. Source: the Alexandria database, functional PBE-GGA.

Cell: 5.5290 5.5290 6.3052 Å, 90.00 90.00 90.00°
Space group P4/mmm (No. 123)
Inequivalent atoms, fractional coordinates:
Cs1 0.0000 0.0000 0.0000 x1
K1 0.5000 0.5000 0.0000 x1
Li1 0.0000 0.5000 0.5000 x2
Au1 0.5000 0.5000 0.5000 x1

## Properties
D(E_F) ... 2.62 states/eV/cell

An optimized crystal structure of Cs2KLiAu. Source: the Alexandria database, functional PBE-GGA.

Cell: 7.2509 7.2509 5.4258 Å, 90.00 90.00 90.00°
Space group P4/mmm (No. 123)
Inequivalent atoms, fractional coordinates:
Cs1 0.0000 0.5000 0.0000 x2
K1 0.0000 0.0000 0.5000 x1
Li1 0.5000 0.5000 0.5000 x1
Au1 0.5000 0.5000 0.0000 x1

## Properties
D(E_F) ... 4.56 states/eV/cell

An optimized crystal structure of Cs2KLiAu. Source: the Alexandria database, functional PBE-GGA.

Cell: 7.0210 7.0210 6.5595 Å, 90.00 90.00 90.00°
Space group P4/mmm (No. 123)
Inequivalent atoms, fractional coordinates:
Cs1 0.0000 0.5000 0.0000 x2
K1 0.0000 0.0000 0.5000 x1
Li1 0.5000 0.5000 0.5000 x1
Au1 0.0000 0.0000 0.0000 x1

## Properties
D(E_F) ... 4.95 states/eV/cell

An optimized crystal structure of CsKMg2Au. Source: the Alexandria database, functional PBE-GGA.

Cell: 5.4150 5.4150 6.4956 Å, 90.00 90.00 90.00°
Space group P4/mmm (No. 123)
Inequivalent atoms, fractional coordinates:
Cs1 0.0000 0.0000 0.0000 x1
K1 0.5000 0.5000 0.0000 x1
Mg1 0.0000 0.5000 0.5000 x2
Au1 0.5000 0.5000 0.5000 x1

## Properties
D(E_F) ... 2.99 states/eV/cell

An optimized crystal structure of Cs2KMgAu. Source: the Alexandria database, functional PBE-GGA.

Cell: 7.1173 7.1173 5.5044 Å, 90.00 90.00 90.00°
Space group P4/mmm (No. 123)
Inequivalent atoms, fractional coordinates:
Cs1 0.0000 0.5000 0.0000 x2
K1 0.0000 0.0000 0.5000 x1
Mg1 0.5000 0.5000 0.5000 x1
Au1 0.5000 0.5000 0.0000 x1

## Properties
D(E_F) ... 3.69 states/eV/cell

An optimized crystal structure of CsKNa2Au. Source: the Alexandria database, functional PBE-GGA.

Cell: 6.0514 6.0514 6.4595 Å, 90.00 90.00 90.00°
Space group P4/mmm (No. 123)
Inequivalent atoms, fractional coordinates:
Cs1 0.0000 0.0000 0.0000 x1
K1 0.5000 0.5000 0.0000 x1
Na1 0.0000 0.5000 0.5000 x2
Au1 0.5000 0.5000 0.5000 x1

## Properties
D(E_F) ... 1.20 states/eV/cell

An optimized crystal structure of CsK2NaAu. Source: the Alexandria database, functional PBE-GGA.

Cell: 6.5484 6.5484 7.0309 Å, 90.00 90.00 90.00°
Space group P4/mmm (No. 123)
Inequivalent atoms, fractional coordinates:
Cs1 0.0000 0.0000 0.0000 x1
K1 0.0000 0.5000 0.5000 x2
Na1 0.5000 0.5000 0.0000 x1
Au1 0.0000 0.0000 0.5000 x1

## Properties
D(E_F) ... 4.37 states/eV/cell

An optimized crystal structure of CsK2NaAu. Source: the Alexandria database, functional PBE-GGA.

Cell: 6.8972 6.8972 5.6981 Å, 90.00 90.00 90.00°
Space group P4/mmm (No. 123)
Inequivalent atoms, fractional coordinates:
Cs1 0.0000 0.0000 0.0000 x1
K1 0.0000 0.5000 0.5000 x2
Na1 0.5000 0.5000 0.5000 x1
Au1 0.5000 0.5000 0.0000 x1

## Properties
D(E_F) ... 3.06 states/eV/cell

An optimized crystal structure of Cs2K5NaAu. Source: the Alexandria database, functional PBE-GGA.

Cell: 9.3596 9.3596 13.6566 Å, 90.00 90.00 90.00°
Space group I4mm (No. 107)
Inequivalent atoms, fractional coordinates:
Cs1 0.0000 0.5000 0.0000 x4
K1 0.0000 0.0000 0.0223 x2
K2 0.2476 0.2476 0.7538 x8
Na1 0.0000 0.0000 0.4944 x2
Au1 0.0000 0.0000 0.2726 x2

## Properties
D(E_F) ... 15.83 states/eV/cell

An optimized crystal structure of CsKNa2Au. Source: the Alexandria database, functional PBE-GGA.

Cell: 5.9440 5.9440 6.7046 Å, 90.00 90.00 90.00°
Space group P4/mmm (No. 123)
Inequivalent atoms, fractional coordinates:
Cs1 0.0000 0.0000 0.0000 x1
K1 0.5000 0.5000 0.0000 x1
Na1 0.0000 0.5000 0.5000 x2
Au1 0.0000 0.0000 0.5000 x1

## Properties
D(E_F) ... 2.77 states/eV/cell

An optimized crystal structure of CsK2NaAu. Source: the Alexandria database, functional PBE-GGA.

Cell: 6.6667 6.6667 6.0694 Å, 90.00 90.00 90.00°
Space group P4/mmm (No. 123)
Inequivalent atoms, fractional coordinates:
Cs1 0.0000 0.0000 0.0000 x1
K1 0.0000 0.5000 0.5000 x2
Na1 0.5000 0.5000 0.0000 x1
Au1 0.5000 0.5000 0.5000 x1

## Properties
D(E_F) ... 2.41 states/eV/cell

An optimized crystal structure of CsKNa2Au2. Source: the Alexandria database, functional PBE-GGA.

Cell: 5.3657 5.3657 8.6844 Å, 90.00 90.00 120.00°
Space group P-3m1 (No. 164)
Inequivalent atoms, fractional coordinates:
Cs1 0.0000 0.0000 0.0000 x1
K1 0.0000 0.0000 0.5000 x1
Na1 0.3333 0.6667 0.6754 x2
Au1 0.3333 0.6667 0.3057 x2

## Properties
D(E_F) ... 4.37 states/eV/cell

Number 1: ΔH_f (0 K) -0.0442 eV per atom. Number 2: ΔH_f (0 K) -0.0733 eV per atom. Number 3: ΔH_f (0 K) -0.0158 eV per atom. Number 4: ΔH_f (0 K) -0.0762 eV per atom. Number 5: ΔH_f (0 K) -0.0701 eV per atom. Number 6: ΔH_f (0 K) -0.0943 eV per atom. Number 7: ΔH_f (0 K) -0.0971 eV per atom. Number 8: ΔH_f (0 K) 0.0470 eV per atom. Number 9: ΔH_f (0 K) -0.0424 eV per atom. Number 10: ΔH_f (0 K) -0.0681 eV per atom. Number 11: ΔH_f (0 K) -0.0975 eV per atom. Number 12: ΔH_f (0 K) -0.2012 eV per atom.